No. 1
The following is a PBE calculation of a relaxed structure of Cs4KPu3O12, from the Alexandria database.

Cell lengths 7.7877, 7.7877, 7.7877 Å; angles 109.47, 109.47, 109.47 degrees
Positions (direct):
Cs  0.0000  0.0000  0.5000
Cs  0.0000  0.5000  0.0000
Cs  0.5000  0.0000  0.0000
Cs  0.5000  0.5000  0.5000
K  0.0000  0.0000  0.0000
Pu  0.0000  0.5000  0.5000
Pu  0.5000  0.0000  0.5000
Pu  0.5000  0.5000  0.0000
O  0.0000  0.2936  0.2936
O  0.0000  0.7064  0.7064
O  0.2500  0.5000  0.7500
O  0.2500  0.7500  0.5000
O  0.2936  0.0000  0.2936
O  0.2936  0.2936  0.0000
O  0.5000  0.2500  0.7500
O  0.5000  0.7500  0.2500
O  0.7064  0.0000  0.7064
O  0.7064  0.7064  0.0000
O  0.7500  0.2500  0.5000
O  0.7500  0.5000  0.2500

Calculated values
The value obtained for the formation energy without anion corrections is -2.294 eV/atom. As for the space group: No. 229. Its crystal system is cubic. The total magnetization is 5.000 μB per formula unit.

---

No. 2
The following is a PBE calculation of a relaxed structure of MnTl4Br7, from the Alexandria database.

Cell lengths 9.0845, 9.0845, 12.4927 Å; angles 124.07, 124.07, 32.72 degrees
Positions (direct):
Mn  0.0000  0.0000  0.0000
Tl  0.2672  0.2672  0.6466
Tl  0.3947  0.3947  0.2288
Tl  0.6053  0.6053  0.7712
Tl  0.7328  0.7328  0.3534
Br  0.0527  0.0527  0.2244
Br  0.2407  0.2407  0.8689
Br  0.3676  0.3676  0.4718
Br  0.5000  0.5000  0.0000
Br  0.6324  0.6324  0.5282
Br  0.7593  0.7593  0.1311
Br  0.9473  0.9473  0.7756

Calculated values
The value obtained for the formation energy without anion corrections is -0.693 eV/atom. As for the space group: No. 12. Its crystal system is monoclinic. The total magnetization is 4.305 μB per formula unit.

---

No. 3
The following is a PBE calculation of a relaxed structure of La5Mg4, from the Alexandria database.

Cell lengths 8.7675, 8.7675, 8.7675 Å; angles 92.69, 92.69, 154.99 degrees
Positions (direct):
La  0.0000  0.0000  0.0000
La  0.3292  0.3292  0.6583
La  0.3292  0.6708  0.0000
La  0.6708  0.3292  0.0000
La  0.6708  0.6708  0.3417
Mg  0.0000  0.3511  0.3511
Mg  0.0000  0.6489  0.6489
Mg  0.3511  0.0000  0.3511
Mg  0.6489  0.0000  0.6489

Calculated values
As for the space group: No. 139. The offset from the most stable computed form is 0.0 kJ/mol of atoms. Its crystal system is tetragonal. The total magnetization is 0.000 μB per formula unit.

---

No. 4
The following is a PBE calculation of a relaxed structure of Ho4GePd, from the Alexandria database.

Cell lengths 10.5175, 10.5175, 6.2169 Å; angles 90.00, 90.00, 151.49 degrees
Positions (direct):
Ho  0.0551  0.9449  0.5000
Ho  0.1985  0.8015  0.7518
Ho  0.2045  0.7955  0.2642
Ho  0.3854  0.6146  0.5155
Ho  0.6146  0.3854  0.0155
Ho  0.7955  0.2045  0.7642
Ho  0.8015  0.1985  0.2518
Ho  0.9449  0.0551  0.0000
Ge  0.3403  0.6597  0.0080
Ge  0.6597  0.3403  0.5080
Pd  0.0793  0.9207  0.0048
Pd  0.9207  0.0793  0.5048

Calculated values
As for the space group: No. 36. Its crystal system is orthorhombic. For the total energy, the calculation gives -61.1 eV per cell. The total magnetization is 0.000 μB per formula unit.

---

Copy entry 3 word for word.
The following is a PBE calculation of a relaxed structure of La5Mg4, from the Alexandria database.

Cell lengths 8.7675, 8.7675, 8.7675 Å; angles 92.69, 92.69, 154.99 degrees
Positions (direct):
La  0.0000  0.0000  0.0000
La  0.3292  0.3292  0.6583
La  0.3292  0.6708  0.0000
La  0.6708  0.3292  0.0000
La  0.6708  0.6708  0.3417
Mg  0.0000  0.3511  0.3511
Mg  0.0000  0.6489  0.6489
Mg  0.3511  0.0000  0.3511
Mg  0.6489  0.0000  0.6489

Calculated values
As for the space group: No. 139. The offset from the most stable computed form is 0.0 kJ/mol of atoms. Its crystal system is tetragonal. The total magnetization is 0.000 μB per formula unit.